Record 1
An optimized crystal structure of ThZrZn. Source: the Open Quantum Materials Database, functional PBE-GGA.

The structure in CIF format:
```
data_ThZrZn
_cell_length_a 4.806
_cell_length_b 4.806
_cell_length_c 4.806
_cell_angle_alpha 60.00
_cell_angle_beta 60.00
_cell_angle_gamma 60.00
_space_group_name_H-M_alt 'P 1'
_space_group_IT_number 1
loop_
_space_group_symop_operation_xyz
'x,y,z'
loop_
_atom_site_label
_atom_site_fract_x
_atom_site_fract_y
_atom_site_fract_z
Th1 0.500 0.500 0.500
Zn1 0.250 0.250 0.250
Zr1 0.000 0.000 0.000
```

* energy relative to the elements: 0.22 eV per atom
* polymorph energy (0 for the lowest one): 0 meV/atom

Record 2
An optimized crystal structure of Th3Zr4. Source: the Open Quantum Materials Database, functional PBE-GGA.

The structure in CIF format:
```
data_Th3Zr4
_cell_length_a 8.909
_cell_length_b 8.909
_cell_length_c 5.523
_cell_angle_alpha 90.00
_cell_angle_beta 90.00
_cell_angle_gamma 60.00
_space_group_name_H-M_alt 'P 1'
_space_group_IT_number 1
loop_
_space_group_symop_operation_xyz
'x,y,z'
loop_
_atom_site_label
_atom_site_fract_x
_atom_site_fract_y
_atom_site_fract_z
Th1 0.132 0.290 0.000
Th2 0.292 0.561 0.000
Th3 0.862 0.720 0.000
Th4 0.391 0.091 0.500
Th5 0.662 0.661 0.500
Th6 0.232 0.820 0.500
Zr1 0.984 0.014 0.000
Zr2 0.585 0.145 0.000
Zr3 0.717 0.412 0.000
Zr4 0.429 0.857 0.000
Zr5 0.939 0.235 0.500
Zr6 0.540 0.367 0.500
Zr7 0.095 0.524 0.500
Zr8 0.807 0.969 0.500
```

* energy relative to the elements: 0.08 eV per atom
* polymorph energy (0 for the lowest one): 0 meV/atom